A relaxed structure of Dy2PaFe2. Source: Alexandria via LeMat-Bulk, functional PBE-GGA.

N(E_F) = 1.028 states/eV per atom
crystal system = monoclinic
space group = C2/c, No. 15
formation energy from the elements = -0.175 eV per atom
DFT total energy = -7.3005 eV/atom

Unit cell a=5.911 b=5.911 c=6.872 alpha=96.84 beta=96.84 gamma=61.94
Element x y z (fractional)
Dy 0.043 0.260 0.146
Dy 0.260 0.043 0.646
Dy 0.740 0.957 0.354
Dy 0.957 0.740 0.854
Pa 0.422 0.578 0.250
Pa 0.578 0.422 0.750
Fe 0.197 0.501 0.482
Fe 0.499 0.803 0.018
Fe 0.501 0.197 0.982
Fe 0.803 0.499 0.518

---

A relaxed structure of TlGaOs2O. Source: Alexandria via LeMat-Bulk, functional PBE-GGA.

N(E_F) = 0.766 states/eV per atom
crystal system = tetragonal
space group = P4/mmm, No. 123
E_form (uncorrected) = 0.800 eV per atom
DFT total energy = -5.7624 eV/atom

Unit cell a=4.124 b=4.124 c=4.759 alpha=90.00 beta=90.00 gamma=90.00
Element x y z (fractional)
Tl 0.000 0.000 0.000
Ga 0.500 0.500 0.000
Os 0.000 0.500 0.500
Os 0.500 0.000 0.500
O 0.500 0.500 0.500

---

A relaxed structure of Pm6Nd12Er. Source: Alexandria via LeMat-Bulk, functional PBE-GGA.

N(E_F) = 1.603 states/eV per atom
crystal system = trigonal
space group = R-3, No. 148
formation energy from the elements = 0.128 eV per atom
polymorph energy (0 for the lowest one) = 8 meV per atom
DFT total energy = -4.6238 eV/atom

Unit cell a=8.754 b=8.754 c=8.754 alpha=89.19 beta=89.19 gamma=89.19
Element x y z (fractional)
Pm 0.200 0.761 0.596
Pm 0.239 0.404 0.800
Pm 0.404 0.800 0.239
Pm 0.596 0.200 0.761
Pm 0.761 0.596 0.200
Pm 0.800 0.239 0.404
Nd 0.036 0.935 0.280
Nd 0.065 0.720 0.964
Nd 0.140 0.483 0.307
Nd 0.280 0.036 0.935
Nd 0.307 0.140 0.483
Nd 0.483 0.307 0.140
Nd 0.517 0.693 0.860
Nd 0.693 0.860 0.517
Nd 0.720 0.964 0.065
Nd 0.860 0.517 0.693
Nd 0.935 0.280 0.036
Nd 0.964 0.065 0.720
Er 0.500 0.500 0.500